No. 1
Material: KCN2
Method: DFT, PBE
State: relaxed

Properties
SG: No. 166
Distance to the lowest polymorph of the same formula in meV/atom: 0
Crystal system: trigonal
DOS(E_F) in states/eV/cell: 4.0
ΔE_f (raw) in meV per atom: 38
DFT total energy in eV per formula unit: -26.821

Unit cell a=6.2077 b=6.2077 c=6.2077 alpha=38.45 beta=38.45 gamma=38.45
Site moments in Bohr magnetons follow the coordinates.
Fractional coordinates of all 4 atoms:
N: 0.9283 0.9283 0.9283  0.37
N: 0.0717 0.0717 0.0717  0.37
K: 0.5000 0.5000 0.5000  0.01
C: 0.0000 0.0000 0.0000  -0.07


No. 2
Material: NbAs2Rh2
Method: DFT, PBE
State: relaxed

Properties
SG: No. 127
Crystal system: tetragonal
ΔH_f (0 K) in eV per atom: -0.279
DOS(E_F) in states/eV/cell: 8.8
DFT total energy in eV per formula unit: -35.468

Unit cell a=7.2996 b=7.2996 c=2.9485 alpha=90.00 beta=90.00 gamma=90.00
Fractional coordinates of all 10 atoms:
As: 0.6552 0.1552 0.0000
As: 0.1552 0.3448 0.0000
As: 0.3448 0.8448 0.0000
As: 0.8448 0.6552 0.0000
Rh: 0.3524 0.1476 0.5000
Rh: 0.8524 0.3524 0.5000
Rh: 0.1476 0.6476 0.5000
Rh: 0.6476 0.8524 0.5000
Nb: 0.5000 0.5000 0.0000
Nb: 0.0000 0.0000 0.0000


No. 3
Material: MnBe4Ni
Method: DFT, PBE
State: relaxed

Properties
SG: No. 216
Distance to the lowest polymorph of the same formula in meV/atom: 0
Crystal system: cubic
ΔH_f (0 K) in eV per atom: -0.231
DOS(E_F) in states/eV/cell: 4.4
DFT total energy in eV per formula unit: -31.241

Unit cell a=4.2394 b=4.2394 c=4.2394 alpha=60.00 beta=60.00 gamma=60.00
Site moments in Bohr magnetons follow the coordinates.
Fractional coordinates of all 6 atoms:
Be: 0.3751 0.3751 0.8746  -0.01
Be: 0.3751 0.8746 0.3751  -0.01
Be: 0.8746 0.3751 0.3751  -0.01
Be: 0.3751 0.3751 0.3751  -0.01
Ni: 0.0000 0.0000 0.0000  0.64
Mn: 0.7500 0.7500 0.7500  3.08


No. 4
Material: Nb2ZnGe
Method: DFT, PBE
State: relaxed

Properties
SG: No. 123
Crystal system: tetragonal
ΔH_f (0 K) in eV per atom: -0.135
DOS(E_F) in states/eV/cell: 1.7
DFT total energy in eV per formula unit: -26.571

Unit cell a=4.0911 b=4.0149 c=4.0149 alpha=90.00 beta=90.00 gamma=90.00
Fractional coordinates of all 4 atoms:
Nb: 0.0000 0.0000 0.5000
Nb: 0.0000 0.5000 0.0000
Ge: 0.5000 0.5000 0.5000
Zn: 0.5000 0.0000 0.0000